(1)
Below is a relaxed structure of Ac3Ce4Te8, with properties calculated at the PBE level.

It has space group C2/m (No. 12), with a = 13.045 Å, b = 13.050 Å, c = 9.188 Å, α = 90.00°, β = 134.70° and γ = 90.00°. The distinct sites, in fractional coordinates, are Ac at (0.000, 0.000, 0.000), Ac at (0.250, 0.250, 0.500), Ce at (0.000, 0.500, 0.000), Ce at (0.000, 0.500, 0.500), Ce at (0.250, 0.250, 0.000), Te at (0.000, 0.250, 0.500), Te at (0.000, 0.255, 0.000), Te at (0.245, 0.500, 0.000) and Te at (0.246, 0.500, 0.490).

Its crystal system is monoclinic. As for the formation energy without anion corrections: -1.416 eV per atom.

***

(2)
Below is a relaxed structure of Sc6Cd2C, with properties calculated at the PBE level.

It has space group C2/m (No. 12), with a = 11.144 Å, b = 6.452 Å, c = 6.447 Å, α = 90.00°, β = 125.35° and γ = 90.00°. The distinct sites, in fractional coordinates, are Sc at (0.018, 0.245, 0.274), Sc at (0.245, 0.000, 0.781), Cd at (0.250, 0.000, 0.251) and C at (0.000, 0.000, 0.500).

Its crystal system is monoclinic. The calculation puts the formation energy at -0.365 eV per atom.

***

(3)
Below is a relaxed structure of Ac3Y3Ho, with properties calculated at the PBE level.

It has space group R-3 (No. 148, hexagonal axes), with a = 9.9122 Å, b = 9.9122 Å, c = 18.3719 Å, α = 90.00°, β = 90.00° and γ = 120.00°. The distinct sites, in fractional coordinates, are Ac at (0.0424, 0.2399, 0.4159), Y at (0.0511, 0.2334, 0.9163) and Ho at (0.0000, 0.0000, 0.2434).

Its crystal system is trigonal. The calculation puts the formation energy at 0.060 eV per atom.

***

(4)
Below is a relaxed structure of BaNaCd10, with properties calculated at the PBE level.

It has space group Pmmm (No. 47), with a = 5.005 Å, b = 5.943 Å, c = 10.653 Å, α = 90.00°, β = 90.00° and γ = 90.00°. The distinct sites, in fractional coordinates, are Ba at (0.000, 0.000, 0.000), Na at (0.000, 0.500, 0.500), Cd at (0.000, 0.000, 0.347), Cd at (0.000, 0.500, 0.189), Cd at (0.500, 0.000, 0.500), Cd at (0.500, 0.245, 0.245) and Cd at (0.500, 0.500, 0.000).

Its crystal system is orthorhombic. The calculation puts the formation energy at -0.133 eV per atom.

***

(5)
Below is a relaxed structure of TbErCu2, with properties calculated at the PBE level.

It has space group P4/mmm (No. 123), with a = 3.454 Å, b = 3.454 Å, c = 6.929 Å, α = 90.00°, β = 90.00° and γ = 90.00°. The distinct sites, in fractional coordinates, are Tb at (0.000, 0.000, 0.000), Er at (0.000, 0.000, 0.500) and Cu at (0.500, 0.500, 0.259).

Its crystal system is tetragonal. The energy above the most stable polymorph in this dataset is 2.4 meV/atom. The calculation puts the formation energy at -0.259 eV per atom.

***

(6)
Below is a relaxed structure of SrPmSn, with properties calculated at the PBE level.

It has space group F-43m (No. 216), with a = 7.692 Å, b = 7.692 Å, c = 7.692 Å, α = 90.00°, β = 90.00° and γ = 90.00°. The distinct sites, in fractional coordinates, are Sr at (0.000, 0.000, 0.000), Pm at (0.000, 0.000, 0.500) and Sn at (0.250, 0.250, 0.750).

Its crystal system is cubic. The energy above the most stable polymorph in this dataset is 143.5 meV/atom. The calculation puts the formation energy at -0.415 eV per atom.

***

(7)
Below is a relaxed structure of TePbO2F, with properties calculated at the PBE level.

It has space group P4/mmm (No. 123), with a = 4.406 Å, b = 4.406 Å, c = 4.499 Å, α = 90.00°, β = 90.00° and γ = 90.00°. The distinct sites, in fractional coordinates, are Te at (0.000, 0.000, 0.000), Pb at (0.500, 0.500, 0.500), O at (0.000, 0.500, 0.500) and F at (0.500, 0.500, 0.000).

Its crystal system is tetragonal. As for the formation energy without anion corrections: -0.418 eV per atom.

***

(8)
Below is a relaxed structure of Li2Mg5In12, with properties calculated at the PBE level.

It has space group C2/m (No. 12), with a = 13.996 Å, b = 9.263 Å, c = 7.101 Å, α = 90.00°, β = 91.29° and γ = 90.00°. The distinct sites, in fractional coordinates, are Li at (0.000, 0.225, 0.000), Mg at (0.000, 0.500, 0.500), Mg at (0.171, 0.000, 0.071), Mg at (0.245, 0.500, 0.459), In at (0.042, 0.000, 0.713), In at (0.110, 0.500, 0.076), In at (0.111, 0.236, 0.363) and In at (0.177, 0.274, 0.787).

Its crystal system is monoclinic. The calculation puts the formation energy at -0.067 eV per atom.